# LiTiTl | Alexandria via LeMat-Bulk | PBE-GGA | optimized geometry
data_LiTiTl
_chemical_formula_sum 'Li2 Ti2 Tl2'
_cell_length_a 4.8251
_cell_length_b 4.8251
_cell_length_c 5.7549
_cell_angle_alpha 90.00
_cell_angle_beta 90.00
_cell_angle_gamma 120.00
_space_group_name_H-M_alt 'P 63/m m c'
_space_group_IT_number 194
_space_group_name_Hall '-P 6c 2c'
loop_
_atom_site_label
_atom_site_type_symbol
_atom_site_fract_x
_atom_site_fract_y
_atom_site_fract_z
Li1 Li 0.0000 0.0000 0.0000
Ti1 Ti 0.3333 0.6667 0.2500
Tl1 Tl 0.3333 0.6667 0.7500
# energy above the most stable polymorph in this dataset: 0.40 eV/f.u.
# Fermi-level density of states: 1.9 states/eV per cell
# total magnetization: 0.000 μB per atom
# DFT formation energy: 0.0719 eV per atom
# VASP energy: -3.99 eV per atom